Here is a geometry-optimized Nd4AsSe2I structure from Alexandria. Energies are from PBE-GGA.

Unit cell a=4.3080 b=7.4262 c=7.6027 alpha=70.72 beta=90.00 gamma=90.00
Positions (direct):
Nd1 0.5000 0.2441 0.7233
Nd2 0.0000 0.7775 0.7120
Nd3 0.0000 0.2225 0.2880
Nd4 0.5000 0.7559 0.2767
I1 0.5000 0.5000 0.0000
Se1 0.5000 0.0000 0.5000
Se2 0.0000 0.0000 0.0000
As1 0.0000 0.5000 0.5000

Calculated values
The calculated total energy is -5.5541 eV per atom.


Here is a geometry-optimized LiLa2Pr6 structure from Alexandria. Energies are from PBE-GGA.

Unit cell a=6.6291 b=13.6182 c=10.4348 alpha=41.97 beta=94.37 gamma=97.99
Positions (direct):
Li1 0.0266 0.2929 0.6427
Li2 0.9734 0.7071 0.3573
Pr1 0.3347 0.6123 0.3049
Pr2 0.4238 0.2483 0.5413
Pr3 0.0983 0.7952 0.5673
Pr4 0.1900 0.4320 0.7935
Pr5 0.8100 0.5680 0.2065
Pr6 0.5762 0.7517 0.4587
Pr7 0.9017 0.2048 0.4327
Pr8 0.6653 0.3877 0.6951
Pr9 0.8253 0.1077 0.1734
Pr10 0.2707 0.0382 0.0428
Pr11 0.7293 0.9618 0.9572
Pr12 0.1747 0.8923 0.8266
La1 0.3546 0.1544 0.2912
La2 0.2611 0.5228 0.0525
La3 0.6454 0.8456 0.7088
La4 0.7389 0.4772 0.9475

Calculated values
The calculation puts the formation energy at 0.04 eV/atom.


Here is a geometry-optimized CuIrF2 structure from Alexandria. Energies are from PBE-GGA.

Unit cell a=6.8453 b=6.8453 c=5.4256 alpha=50.89 beta=50.89 gamma=90.00
Positions (direct):
Ir1 0.0000 0.0000 0.0000
Ir2 0.7500 0.2500 0.5000
Cu1 0.2500 0.7500 0.5000
Cu2 0.5000 0.5000 0.0000
F1 0.0356 0.6250 0.2500
F2 0.7144 0.1250 0.2500
F3 0.8750 0.9644 0.7500
F4 0.3750 0.2856 0.7500

Calculated values
The energy above the lowest structure with this stoichiometry is 0.712 eV per atom.


Here is a geometry-optimized Ho4HgAu3 structure from Alexandria. Energies are from PBE-GGA.

Unit cell a=3.6124 b=5.1171 c=10.2242 alpha=90.00 beta=90.00 gamma=90.00
Positions (direct):
Ho1 0.0000 0.5000 0.2580
Ho2 0.0000 0.0000 0.5000
Ho3 0.0000 0.0000 0.0000
Ho4 0.0000 0.5000 0.7420
Au1 0.5000 0.5000 0.5000
Au2 0.5000 0.0000 0.7542
Au3 0.5000 0.0000 0.2458
Hg1 0.5000 0.5000 0.0000

Calculated values
The calculation puts the formation energy at -0.77 eV/atom.


Here is a geometry-optimized NbTeP2S structure from Alexandria. Energies are from PBE-GGA.

Unit cell a=4.9079 b=4.9079 c=4.8405 alpha=90.00 beta=90.00 gamma=90.00
Positions (direct):
Nb1 0.5000 0.5000 0.5000
P1 0.0000 0.5000 0.0000
P2 0.5000 0.0000 0.0000
Te1 0.0000 0.0000 0.0000
S1 0.0000 0.0000 0.5000

Calculated values
The energy above the lowest structure with this stoichiometry is 1.125 eV per atom.


Here is a geometry-optimized BaInB2 structure from Alexandria. Energies are from PBE-GGA.

Unit cell a=4.8375 b=4.8375 c=8.4307 alpha=73.33 beta=73.33 gamma=90.00
Positions (direct):
B1 0.3750 0.6251 0.7500
B2 0.3751 0.6250 0.2500
B3 0.3749 0.1250 0.2500
B4 0.8750 0.6249 0.7500
In1 0.2500 0.7500 0.5000
In2 0.5000 0.5000 0.0000
Ba1 0.0000 0.0000 0.0000
Ba2 0.7500 0.2500 0.5000

Calculated values
The calculation puts the formation energy at 0.80 eV/atom.


Here is a geometry-optimized AcCeSn2 structure from Alexandria. Energies are from PBE-GGA.

Unit cell a=4.5609 b=5.2075 c=5.2075 alpha=90.00 beta=90.00 gamma=90.00
Positions (direct):
Ce1 0.5000 0.5000 0.5000
Ac1 0.5000 0.0000 0.0000
Sn1 0.0000 0.0000 0.5000
Sn2 0.0000 0.5000 0.0000

Calculated values
The calculation puts the formation energy at -0.57 eV/atom.


Here is a geometry-optimized Zn15Rh structure from Alexandria. Energies are from PBE-GGA.

Unit cell a=5.4274 b=5.4274 c=9.2123 alpha=90.00 beta=90.00 gamma=120.00
Positions (direct):
Zn1 0.0044 0.5022 0.0000
Zn2 0.9959 0.4979 0.5000
Zn3 0.3317 0.1659 0.2427
Zn4 0.8341 0.6683 0.2427
Zn5 0.3333 0.6667 0.2600
Zn6 0.4978 0.5022 0.0000
Zn7 0.3317 0.1659 0.7573
Zn8 0.0000 0.0000 0.5000
Zn9 0.8341 0.1659 0.2427
Zn10 0.3333 0.6667 0.7400
Zn11 0.8341 0.1659 0.7573
Zn12 0.8341 0.6683 0.7573
Zn13 0.5021 0.0041 0.5000
Zn14 0.4978 0.9956 0.0000
Zn15 0.5021 0.4979 0.5000
Rh1 0.0000 0.0000 0.0000

Calculated values
The calculation puts the formation energy at -0.09 eV/atom.


Here is a geometry-optimized Tb2Y12Er5 structure from Alexandria. Energies are from PBE-GGA.

Unit cell a=9.2720 b=9.0841 c=8.5452 alpha=91.02 beta=90.00 gamma=120.69
Positions (direct):
Er1 0.7686 0.5372 0.4261
Er2 0.6989 0.3978 0.0131
Er3 0.0000 0.0000 0.5000
Er4 0.3011 0.6022 0.9869
Er5 0.2314 0.4628 0.5739
Tb1 0.6763 0.0000 0.0000
Tb2 0.3237 0.0000 0.0000
Y1 0.0876 0.1752 0.8799
Y2 0.5654 0.7450 0.3398
Y3 0.8204 0.2550 0.6602
Y4 0.5581 0.1161 0.3320
Y5 0.4346 0.2550 0.6602
Y6 0.9731 0.3075 0.2398
Y7 0.3344 0.3075 0.2398
Y8 0.4419 0.8839 0.6680
Y9 0.1796 0.7450 0.3398
Y10 0.9124 0.8248 0.1201
Y11 0.0269 0.6925 0.7602
Y12 0.6656 0.6925 0.7602

Calculated values
The calculation puts the formation energy at 0.13 eV/atom.


Here is a geometry-optimized AcMgInPb structure from Alexandria. Energies are from PBE-GGA.

Unit cell a=5.5609 b=5.5609 c=5.5609 alpha=60.00 beta=60.00 gamma=60.00
Positions (direct):
Ac1 0.7500 0.7500 0.7500
Pb1 0.0000 0.0000 0.0000
In1 0.5000 0.5000 0.5000
Mg1 0.2500 0.2500 0.2500

Calculated values
The calculation puts the formation energy at -0.28 eV/atom. The energy above the lowest structure with this stoichiometry is 0.070 eV per atom.


Here is a geometry-optimized LaBeHg2Pb structure from Alexandria. Energies are from PBE-GGA.

Unit cell a=6.3058 b=6.3365 c=6.3058 alpha=90.00 beta=90.00 gamma=90.00
Positions (direct):
Pb1 0.0000 0.5000 0.0000
Be1 0.5000 0.5000 0.5000
Hg1 0.0000 0.0000 0.5000
Hg2 0.5000 0.0000 0.0000
La1 0.0000 0.0000 0.0000

Calculated values
The calculation puts the formation energy at 1.05 eV/atom.


Here is a geometry-optimized Pm2YRh3 structure from Alexandria. Energies are from PBE-GGA.

Unit cell a=7.7319 b=7.7319 c=7.1342 alpha=90.00 beta=90.00 gamma=143.21
Positions (direct):
Rh1 0.1679 0.8321 0.2443
Rh2 0.5000 0.5000 0.2465
Rh3 0.8321 0.1679 0.7557
Rh4 0.1679 0.8321 0.7557
Rh5 0.8321 0.1679 0.2443
Rh6 0.5000 0.5000 0.7535
Pm1 0.3329 0.6671 0.5000
Pm2 0.0000 0.0000 0.0000
Pm3 0.0000 0.0000 0.5000
Pm4 0.6671 0.3329 0.5000
Y1 0.6677 0.3323 0.0000
Y2 0.3323 0.6677 0.0000

Calculated values
The calculation puts the formation energy at -0.73 eV/atom. The energy above the lowest structure with this stoichiometry is 0.004 eV per atom.


Here is a geometry-optimized CeVRe structure from Alexandria. Energies are from PBE-GGA.

Unit cell a=4.4675 b=4.4675 c=6.8655 alpha=71.01 beta=71.01 gamma=60.00
Positions (direct):
V1 0.0652 0.0652 0.8043
V2 0.9348 0.9348 0.1957
Ce1 0.6024 0.6024 0.1928
Ce2 0.3976 0.3976 0.8072
Re1 0.1956 0.1956 0.4132
Re2 0.8044 0.8044 0.5868

Calculated values
The calculation puts the formation energy at 0.32 eV/atom. The energy above the lowest structure with this stoichiometry is 0.229 eV per atom.


Here is a geometry-optimized Cs2MgNbI6 structure from Alexandria. Energies are from PBE-GGA.

Unit cell a=8.3466 b=8.3466 c=8.3463 alpha=60.00 beta=60.00 gamma=90.00
Positions (direct):
I1 0.2495 0.2495 0.0000
I2 0.7505 0.2495 0.0000
I3 0.7505 0.7505 0.4989
I4 0.2495 0.7505 0.0000
I5 0.2495 0.2495 0.5011
I6 0.7505 0.7505 0.0000
Mg1 0.5000 0.5000 0.0000
Nb1 0.0000 0.0000 0.0000
Cs1 0.7500 0.2500 0.5000
Cs2 0.2500 0.7500 0.5000

Calculated values
The calculated total energy is -3.1708 eV per atom.


Here is a geometry-optimized HfReTe2 structure from Alexandria. Energies are from PBE-GGA.

Unit cell a=9.8327 b=9.8327 c=9.8327 alpha=19.36 beta=19.36 gamma=19.36
Positions (direct):
Hf1 0.0000 0.0000 0.0000
Te1 0.0992 0.0992 0.0992
Te2 0.9008 0.9008 0.9008
Re1 0.5000 0.5000 0.5000

Calculated values
The energy above the lowest structure with this stoichiometry is 0.143 eV per atom.


Here is a geometry-optimized KZrAu3 structure from Alexandria. Energies are from PBE-GGA.

Unit cell a=5.3810 b=5.3810 c=5.3810 alpha=90.00 beta=90.00 gamma=90.00
Positions (direct):
Zr1 0.0000 0.0000 0.0000
Au1 0.5000 0.0000 0.0000
Au2 0.0000 0.5000 0.0000
Au3 0.0000 0.0000 0.5000
K1 0.5000 0.5000 0.5000

Calculated values
The calculation puts the formation energy at 0.08 eV/atom. The energy above the lowest structure with this stoichiometry is 0.000 eV per atom.


Here is a geometry-optimized Pa2P4Pd structure from Alexandria. Energies are from PBE-GGA.

Unit cell a=3.8329 b=3.8329 c=9.1583 alpha=90.00 beta=90.00 gamma=90.00
Positions (direct):
Pa1 0.5000 0.0000 0.7356
Pa2 0.0000 0.5000 0.2644
P1 0.5000 0.0000 0.1688
P2 0.5000 0.5000 0.5000
P3 0.0000 0.0000 0.5000
P4 0.0000 0.5000 0.8312
Pd1 0.5000 0.5000 0.0000

Calculated values
The calculation puts the formation energy at -0.96 eV/atom.


Here is a geometry-optimized TlHPtAu2 structure from Alexandria. Energies are from PBE-GGA.

Unit cell a=5.3030 b=5.3030 c=3.3948 alpha=90.00 beta=90.00 gamma=90.00
Positions (direct):
Au1 0.0000 0.5000 0.0000
Au2 0.5000 0.0000 0.0000
Tl1 0.5000 0.5000 0.5000
H1 0.0000 0.0000 0.5000
Pt1 0.0000 0.0000 0.0000

Calculated values
The calculated total energy is -3.5038 eV per atom.


Here is a geometry-optimized Tb2Y3Er6Sc structure from Alexandria. Energies are from PBE-GGA.

Unit cell a=6.0794 b=6.0794 c=11.6483 alpha=94.98 beta=94.98 gamma=119.95
Positions (direct):
Er1 0.0819 0.4129 0.2468
Er2 0.2491 0.2491 0.7530
Er3 0.7509 0.7509 0.2470
Er4 0.5871 0.9181 0.7532
Er5 0.9181 0.5871 0.7532
Er6 0.4129 0.0819 0.2468
Y1 0.5000 0.5000 0.5000
Y2 0.1663 0.8337 0.5000
Y3 0.8337 0.1663 0.5000
Tb1 0.6666 0.3334 0.0000
Tb2 0.3334 0.6666 0.0000
Sc1 0.0000 0.0000 0.0000

Calculated values
The calculation puts the formation energy at 0.03 eV/atom.


Here is a geometry-optimized Ac4Pm3 structure from Alexandria. Energies are from PBE-GGA.

Unit cell a=5.4916 b=6.6936 c=8.4958 alpha=82.99 beta=90.00 gamma=114.22
Positions (direct):
Pm1 0.0000 0.0000 0.0000
Pm2 0.7192 0.4385 0.8626
Pm3 0.2808 0.5615 0.1374
Ac1 0.8559 0.7118 0.4239
Ac2 0.1441 0.2882 0.5761
Ac3 0.5688 0.1376 0.2724
Ac4 0.4312 0.8624 0.7276

Calculated values
The calculation puts the formation energy at 0.04 eV/atom.